A relaxed Nd4Ge3Br crystal, computed with PBE.

- V (Å³ per cell) = 226.3
- calculated density (g/cm3) = 6.4
- DFT total energy (eV/atom) = -5.30
- D(E_F) (states/eV/cell) = 5.13

a b c (Å): 7.447 7.447 4.325
angles (deg): 90.00 90.00 109.36
Positions (direct):
1 Nd 0.233 0.233 0.500
2 Nd 0.246 0.754 0.000
3 Nd 0.754 0.246 0.000
4 Nd 0.767 0.767 0.500
5 Ge 0.000 0.000 0.000
6 Ge 0.000 0.500 0.500
7 Ge 0.500 0.000 0.500
8 Br 0.500 0.500 0.000

A relaxed Tb3Nd5Y2 crystal, computed with PBE.

- V (Å³ per cell) = 690.7
- relative energy among the computed polymorphs (eV/atom) = 0.111
- calculated density (g/cm3) = 6.6
- DFT total energy (eV/atom) = -4.78
- D(E_F) (states/eV/cell) = 29.30

a b c (Å): 11.099 11.099 11.099
angles (deg): 113.07 77.30 145.89
Positions (direct):
1 Tb 0.169 0.739 0.908
2 Tb 0.250 0.250 0.000
3 Tb 0.331 0.239 0.570
4 Tb 0.669 0.761 0.430
5 Tb 0.750 0.750 0.000
6 Tb 0.831 0.261 0.092
7 Nd 0.168 0.087 0.256
8 Nd 0.250 0.002 0.752
9 Nd 0.250 0.498 0.248
10 Nd 0.250 0.750 0.500
11 Nd 0.332 0.587 0.919
12 Nd 0.668 0.413 0.081
13 Nd 0.750 0.250 0.500
14 Nd 0.750 0.502 0.752
15 Nd 0.750 0.998 0.248
16 Nd 0.832 0.913 0.744
17 Y 0.170 0.407 0.577
18 Y 0.330 0.907 0.238
19 Y 0.670 0.093 0.762
20 Y 0.830 0.593 0.423

A relaxed Be2TlAg crystal, computed with PBE.

- V (Å³ per cell) = 141.4
- relative energy among the computed polymorphs (eV/atom) = 0.390
- calculated density (g/cm3) = 7.8
- DFT total energy (eV/atom) = -2.39
- D(E_F) (states/eV/cell) = 2.31

a b c (Å): 5.685 5.685 5.685
angles (deg): 108.98 108.98 110.46
Positions (direct):
1 Be 0.100 0.625 0.975
2 Be 0.375 0.350 0.475
3 Be 0.650 0.125 0.025
4 Be 0.875 0.900 0.525
5 Tl 0.250 0.750 0.500
6 Tl 0.500 0.500 0.000
7 Ag 0.000 0.000 0.000
8 Ag 0.750 0.250 0.500

A relaxed ZnNiI2 crystal, computed with PBE.

- V (Å³ per cell) = 96.8
- relative energy among the computed polymorphs (eV/atom) = 0.527
- calculated density (g/cm3) = 6.5
- DFT total energy (eV/atom) = -1.96
- D(E_F) (states/eV/cell) = 6.64

a b c (Å): 5.155 5.155 5.155
angles (deg): 60.00 60.00 60.00
Positions (direct):
1 Zn 0.000 0.000 0.000
2 Ni 0.500 0.500 0.500
3 I 0.250 0.250 0.250
4 I 0.750 0.750 0.750

A relaxed SrTaNi2 crystal, computed with PBE.

- V (Å³ per cell) = 70.4
- relative energy among the computed polymorphs (eV/atom) = 0.458
- calculated density (g/cm3) = 9.1
- DFT total energy (eV/atom) = -5.84
- D(E_F) (states/eV/cell) = 3.46

a b c (Å): 5.902 5.902 5.902
angles (deg): 152.15 132.51 55.96
Positions (direct):
1 Sr 0.000 0.000 0.000
2 Ta 0.294 0.794 0.500
3 Ni 0.519 0.519 0.000
4 Ni 0.725 0.225 0.500

A relaxed AcAl4Cd crystal, computed with PBE.

- V (Å³ per cell) = 135.8
- calculated density (g/cm3) = 5.5
- DFT total energy (eV/atom) = -3.42
- D(E_F) (states/eV/cell) = 3.19

a b c (Å): 5.770 5.770 5.770
angles (deg): 60.00 60.00 60.00
Positions (direct):
1 Ac 0.000 0.000 0.000
2 Al 0.375 0.375 0.375
3 Al 0.375 0.375 0.876
4 Al 0.375 0.876 0.375
5 Al 0.876 0.375 0.375
6 Cd 0.750 0.750 0.750

A relaxed Cd2PRh crystal, computed with PBE.

- V (Å³ per cell) = 70.4
- calculated density (g/cm3) = 8.5
- DFT total energy (eV/atom) = -3.42
- D(E_F) (states/eV/cell) = 3.15

a b c (Å): 4.634 4.634 4.634
angles (deg): 60.00 60.00 60.00
Positions (direct):
1 Cd 0.000 0.000 0.000
2 Cd 0.250 0.250 0.250
3 P 0.500 0.500 0.500
4 Rh 0.750 0.750 0.750

A relaxed AcTi2Hg2O7 crystal, computed with PBE.

- V (Å³ per cell) = 178.3
- calculated density (g/cm3) = 7.8
- DFT total energy (eV/atom) = -6.84
- D(E_F) (states/eV/cell) = 1.39

a b c (Å): 11.728 11.728 11.728
angles (deg): 160.85 27.61 160.30
Positions (direct):
1 Ac 0.000 0.000 0.000
2 Ti 0.423 0.013 0.410
3 Ti 0.603 0.013 0.590
4 Hg 0.197 0.483 0.714
5 Hg 0.769 0.483 0.286
6 O 0.056 0.473 0.583
7 O 0.305 0.982 0.323
8 O 0.398 0.479 0.920
9 O 0.472 0.972 0.500
10 O 0.559 0.479 0.080
11 O 0.658 0.982 0.677
12 O 0.890 0.473 0.417

A relaxed RbFeB3 crystal, computed with PBE.

- V (Å³ per cell) = 95.7
- relative energy among the computed polymorphs (eV/atom) = 3.168
- calculated density (g/cm3) = 3.0
- DFT total energy (eV/atom) = -1.86
- D(E_F) (states/eV/cell) = 11.21

a b c (Å): 4.574 4.574 4.574
angles (deg): 90.00 90.00 90.00
Positions (direct):
1 Rb 0.000 0.000 0.000
2 Fe 0.500 0.500 0.500
3 B 0.000 0.000 0.500
4 B 0.000 0.500 0.000
5 B 0.500 0.000 0.000

A relaxed Tb2ThCo crystal, computed with PBE.

- V (Å³ per cell) = 424.4
- relative energy among the computed polymorphs (eV/atom) = 0.000
- calculated density (g/cm3) = 9.5
- DFT total energy (eV/atom) = -6.14
- D(E_F) (states/eV/cell) = 18.30

a b c (Å): 6.940 9.680 6.318
angles (deg): 90.00 90.00 90.00
Positions (direct):
1 Tb 0.170 0.070 0.175
2 Tb 0.170 0.430 0.175
3 Tb 0.330 0.570 0.675
4 Tb 0.330 0.930 0.675
5 Tb 0.670 0.070 0.325
6 Tb 0.670 0.430 0.325
7 Tb 0.830 0.570 0.825
8 Tb 0.830 0.930 0.825
9 Th 0.053 0.250 0.663
10 Th 0.447 0.750 0.163
11 Th 0.553 0.250 0.837
12 Th 0.947 0.750 0.337
13 Co 0.130 0.750 0.971
14 Co 0.370 0.250 0.471
15 Co 0.630 0.750 0.529
16 Co 0.870 0.250 0.029

A relaxed Rb3Ca2F7 crystal, computed with PBE.

- V (Å³ per cell) = 235.3
- calculated density (g/cm3) = 3.3
- DFT total energy (eV/atom) = -5.00
- D(E_F) (states/eV/cell) = 0.00

a b c (Å): 12.039 12.039 12.039
angles (deg): 158.45 158.45 30.66
Positions (direct):
1 Rb 0.000 0.000 0.000
2 Rb 0.187 0.187 0.000
3 Rb 0.813 0.813 0.000
4 Ca 0.402 0.402 0.000
5 Ca 0.598 0.598 0.000
6 F 0.097 0.597 0.500
7 F 0.305 0.305 0.000
8 F 0.403 0.903 0.500
9 F 0.500 0.500 0.000
10 F 0.597 0.097 0.500
11 F 0.695 0.695 0.000
12 F 0.903 0.403 0.500

A relaxed Y2InCoI crystal, computed with PBE.

- V (Å³ per cell) = 180.2
- calculated density (g/cm3) = 4.4
- DFT total energy (eV/atom) = -3.89
- D(E_F) (states/eV/cell) = 6.50

a b c (Å): 5.599 5.599 5.748
angles (deg): 90.00 90.00 90.00
Positions (direct):
1 Y 0.000 0.500 0.000
2 Y 0.500 0.000 0.000
3 In 0.000 0.000 0.500
4 Co 0.500 0.500 0.500
5 I 0.000 0.000 0.000

A relaxed InPRhO2 crystal, computed with PBE.

- V (Å³ per cell) = 77.0
- relative energy among the computed polymorphs (eV/atom) = 0.000
- calculated density (g/cm3) = 6.1
- DFT total energy (eV/atom) = -5.31
- D(E_F) (states/eV/cell) = 2.65

a b c (Å): 3.889 3.889 5.093
angles (deg): 90.00 90.00 90.00
Positions (direct):
1 In 0.000 0.000 0.000
2 P 0.500 0.500 0.000
3 Rh 0.500 0.500 0.500
4 O 0.000 0.500 0.500
5 O 0.500 0.000 0.500

A relaxed SrCdRe2 crystal, computed with PBE.

- V (Å³ per cell) = 78.6
- calculated density (g/cm3) = 12.1
- DFT total energy (eV/atom) = -5.76
- D(E_F) (states/eV/cell) = 3.57

a b c (Å): 5.790 5.790 2.705
angles (deg): 90.00 90.00 119.93
Positions (direct):
1 Sr 0.000 0.000 0.000
2 Cd 0.500 0.500 0.000
3 Re 0.000 0.500 0.500
4 Re 0.500 0.000 0.500

A relaxed LaNb2W crystal, computed with PBE.

- V (Å³ per cell) = 79.5
- relative energy among the computed polymorphs (eV/atom) = 0.000
- calculated density (g/cm3) = 10.6
- DFT total energy (eV/atom) = -9.06
- D(E_F) (states/eV/cell) = 3.00

a b c (Å): 4.826 4.826 4.826
angles (deg): 60.00 60.00 60.00
Positions (direct):
1 La 0.000 0.000 0.000
2 Nb 0.250 0.250 0.250
3 Nb 0.750 0.750 0.750
4 W 0.500 0.500 0.500

A relaxed WAu crystal, computed with PBE.

- V (Å³ per cell) = 68.1
- relative energy among the computed polymorphs (eV/atom) = 0.085
- calculated density (g/cm3) = 18.6
- DFT total energy (eV/atom) = -7.78
- D(E_F) (states/eV/cell) = 3.71

a b c (Å): 2.841 2.841 9.737
angles (deg): 90.00 90.00 120.00
Positions (direct):
1 W 0.333 0.667 0.377
2 W 0.667 0.333 0.623
3 Au 0.333 0.667 0.868
4 Au 0.667 0.333 0.132

A relaxed TbY3Pd2 crystal, computed with PBE.

- V (Å³ per cell) = 340.6
- relative energy among the computed polymorphs (eV/atom) = 0.097
- calculated density (g/cm3) = 6.2
- DFT total energy (eV/atom) = -6.23
- D(E_F) (states/eV/cell) = 12.59

a b c (Å): 8.488 8.488 8.488
angles (deg): 131.73 71.81 130.29
Positions (direct):
1 Tb 0.000 0.000 0.000
2 Tb 0.500 0.500 0.000
3 Y 0.015 0.250 0.765
4 Y 0.250 0.750 0.500
5 Y 0.485 0.250 0.235
6 Y 0.515 0.750 0.765
7 Y 0.750 0.250 0.500
8 Y 0.985 0.750 0.235
9 Pd 0.140 0.711 0.850
10 Pd 0.360 0.211 0.571
11 Pd 0.640 0.789 0.429
12 Pd 0.860 0.289 0.150

A relaxed LiPu3Pa2N6 crystal, computed with PBE.

- V (Å³ per cell) = 179.4
- calculated density (g/cm3) = 11.9
- DFT total energy (eV/atom) = -10.77
- D(E_F) (states/eV/cell) = 18.63

a b c (Å): 6.017 6.017 6.057
angles (deg): 99.34 99.34 120.12
Positions (direct):
1 Li 0.000 0.000 0.000
2 Pu 0.158 0.842 0.500
3 Pu 0.500 0.500 0.500
4 Pu 0.842 0.158 0.500
5 Pa 0.332 0.668 0.000
6 Pa 0.668 0.332 0.000
7 N 0.083 0.442 0.248
8 N 0.280 0.280 0.771
9 N 0.442 0.083 0.248
10 N 0.558 0.917 0.752
11 N 0.720 0.720 0.229
12 N 0.917 0.558 0.752

A relaxed Sc2GaI6 crystal, computed with PBE.

- V (Å³ per cell) = 374.3
- calculated density (g/cm3) = 4.1
- DFT total energy (eV/atom) = -3.77
- D(E_F) (states/eV/cell) = 3.74

a b c (Å): 9.847 9.847 9.651
angles (deg): 104.84 104.84 24.48
Positions (direct):
1 Sc 0.166 0.166 0.339
2 Sc 0.834 0.834 0.661
3 Ga 0.500 0.500 0.000
4 I 0.014 0.014 0.264
5 I 0.324 0.324 0.869
6 I 0.329 0.329 0.436
7 I 0.671 0.671 0.564
8 I 0.676 0.676 0.131
9 I 0.986 0.986 0.736

A relaxed Mg2ScSe crystal, computed with PBE.

- V (Å³ per cell) = 85.5
- calculated density (g/cm3) = 3.4
- DFT total energy (eV/atom) = -3.65
- D(E_F) (states/eV/cell) = 2.76

a b c (Å): 3.752 4.379 5.202
angles (deg): 90.00 90.00 90.00
Positions (direct):
1 Mg 0.000 0.000 0.000
2 Mg 0.500 0.500 0.000
3 Sc 0.000 0.500 0.500
4 Se 0.500 0.000 0.500